Entry 1:
Compound: LaV2H2
Source: Alexandria via LeMat-Bulk
Functional: PBE-GGA
Structure: optimized geometry

abc: 7.0606 7.0606 2.7278
angles: 90.00 90.00 90.00
Fractional coordinates of all 10 atoms:
V 0.1089 0.3911 0.0000
La 0.0000 0.0000 0.0000
H 0.6035 0.8965 0.5000
La 0.5000 0.5000 0.0000
V 0.3911 0.8911 0.0000
V 0.6089 0.1089 0.0000
H 0.3965 0.1035 0.5000
H 0.8965 0.3965 0.5000
V 0.8911 0.6089 0.0000
H 0.1035 0.6035 0.5000

Output
As for the energy relative to the lowest polymorph listed for this composition: 577 meV per atom. The space-group type is P4/mbm (127).

Entry 2:
Compound: Ce5GaPd
Source: Alexandria via LeMat-Bulk
Functional: PBE-GGA
Structure: optimized geometry

abc: 8.3022 8.3022 8.4949
angles: 59.26 59.26 44.21
Fractional coordinates of all 14 atoms:
Ce 0.2538 0.7462 0.2500
Ce 0.8022 0.7667 0.9658
Ce 0.7667 0.8022 0.4658
Pd 0.0000 0.0000 0.5000
Ce 0.7462 0.2538 0.7500
Ce 0.3581 0.3587 0.6414
Ce 0.6413 0.6419 0.8586
Ce 0.1978 0.2334 0.0342
Ce 0.3587 0.3581 0.1414
Ga 0.2644 0.7356 0.7500
Ce 0.6419 0.6413 0.3586
Pd 0.0000 0.0000 0.0000
Ce 0.2334 0.1978 0.5342
Ga 0.7356 0.2644 0.2500

Output
The space-group type is Imma (74). The calculation puts the formation energy at -135 kJ/mol of formula units.

What did the first record say?
Compound: LaV2H2
Source: Alexandria via LeMat-Bulk
Functional: PBE-GGA
Structure: optimized geometry

abc: 7.0606 7.0606 2.7278
angles: 90.00 90.00 90.00
Fractional coordinates of all 10 atoms:
V 0.1089 0.3911 0.0000
La 0.0000 0.0000 0.0000
H 0.6035 0.8965 0.5000
La 0.5000 0.5000 0.0000
V 0.3911 0.8911 0.0000
V 0.6089 0.1089 0.0000
H 0.3965 0.1035 0.5000
H 0.8965 0.3965 0.5000
V 0.8911 0.6089 0.0000
H 0.1035 0.6035 0.5000

Output
As for the energy relative to the lowest polymorph listed for this composition: 577 meV per atom. The space-group type is P4/mbm (127).

Copy entry 2 word for word.
Compound: Ce5GaPd
Source: Alexandria via LeMat-Bulk
Functional: PBE-GGA
Structure: optimized geometry

abc: 8.3022 8.3022 8.4949
angles: 59.26 59.26 44.21
Fractional coordinates of all 14 atoms:
Ce 0.2538 0.7462 0.2500
Ce 0.8022 0.7667 0.9658
Ce 0.7667 0.8022 0.4658
Pd 0.0000 0.0000 0.5000
Ce 0.7462 0.2538 0.7500
Ce 0.3581 0.3587 0.6414
Ce 0.6413 0.6419 0.8586
Ce 0.1978 0.2334 0.0342
Ce 0.3587 0.3581 0.1414
Ga 0.2644 0.7356 0.7500
Ce 0.6419 0.6413 0.3586
Pd 0.0000 0.0000 0.0000
Ce 0.2334 0.1978 0.5342
Ga 0.7356 0.2644 0.2500

Output
The space-group type is Imma (74). The calculation puts the formation energy at -135 kJ/mol of formula units.

Copy entry 2 word for word.
Compound: Ce5GaPd
Source: Alexandria via LeMat-Bulk
Functional: PBE-GGA
Structure: optimized geometry

abc: 8.3022 8.3022 8.4949
angles: 59.26 59.26 44.21
Fractional coordinates of all 14 atoms:
Ce 0.2538 0.7462 0.2500
Ce 0.8022 0.7667 0.9658
Ce 0.7667 0.8022 0.4658
Pd 0.0000 0.0000 0.5000
Ce 0.7462 0.2538 0.7500
Ce 0.3581 0.3587 0.6414
Ce 0.6413 0.6419 0.8586
Ce 0.1978 0.2334 0.0342
Ce 0.3587 0.3581 0.1414
Ga 0.2644 0.7356 0.7500
Ce 0.6419 0.6413 0.3586
Pd 0.0000 0.0000 0.0000
Ce 0.2334 0.1978 0.5342
Ga 0.7356 0.2644 0.2500

Output
The space-group type is Imma (74). The calculation puts the formation energy at -135 kJ/mol of formula units.